(1)
Below is BiICl2 after structural relaxation, with properties calculated at the PBE level.

Cell lengths 7.4739, 7.4739, 7.4739 Å; angles 90.00, 90.00, 90.00 degrees
Closest atoms and distances in Å follow each position.
Space group Fm-3m (No. 225)
Unique sites:
Bi (0.0000, 0.0000, 0.0000) [4 per cell]  8 Cl 3.24
I (0.0000, 0.0000, 0.5000) [4 per cell]  8 Cl 3.24
Cl (0.2500, 0.2500, 0.2500) [8 per cell]  4 Bi 3.24, 4 I 3.24

Values from the calculation:
The uncorrected energy is -2.390 eV per atom. The offset from the most stable computed form is 675 meV per atom. The density of states at the Fermi level is 0.00 states/eV/cell. The magnetization is 0.0 μB/f.u.

***

(2)
Below is BiICl3 after structural relaxation, with properties calculated at the PBE level.

Cell lengths 5.4789, 5.4789, 5.4789 Å; angles 90.00, 90.00, 90.00 degrees
Closest atoms and distances in Å follow each position.
Space group Pm-3m (No. 221)
Unique sites:
Bi (0.0000, 0.0000, 0.0000) [1 per cell]  6 Cl 2.74
I (0.5000, 0.5000, 0.5000) [1 per cell]  12 Cl 3.87
Cl (0.0000, 0.0000, 0.5000) [3 per cell]  2 Bi 2.74

Values from the calculation:
The uncorrected energy is -2.637 eV per atom. The offset from the most stable computed form is 181 meV per atom. The density of states at the Fermi level is 9.98 states/eV/cell. The magnetization is 1.0 μB/f.u.

***

(3)
Below is BiICl2 after structural relaxation, with properties calculated at the PBE level.

Cell lengths 3.5758, 3.5758, 38.2555 Å; angles 90.00, 90.00, 120.00 degrees
Closest atoms and distances in Å follow each position.
Space group R-3m (No. 166, hexagonal axes)
Unique sites:
Bi (0.0000, 0.0000, 0.0000) [3 per cell]  6 Cl 2.93
I (0.0000, 0.0000, 0.5000) [3 per cell]  6 I 3.58
Cl (0.0000, 0.0000, 0.3878) [6 per cell]  3 Bi 2.93

Values from the calculation:
The uncorrected energy is -2.549 eV per atom. The offset from the most stable computed form is 517 meV per atom. The density of states at the Fermi level is 12.84 states/eV/cell. The magnetization is 0.0 μB/f.u.

***

(4)
Below is BiI3Cl after structural relaxation, with properties calculated at the PBE level.

Cell lengths 14.0627, 8.8673, 8.9040 Å; angles 90.00, 120.43, 90.00 degrees
Closest atoms and distances in Å follow each position.
Space group C2/m (No. 12)
Unique sites:
Bi (0.2301, 0.0000, 0.4805) [4 per cell]  1 Cl 2.48
I (0.0237, 0.5000, 0.8702) [4 per cell]  1 I 2.71
I (0.1912, 0.2610, 0.6863) [8 per cell]  2 Bi 3.10-3.17
Cl (0.0356, 0.0000, 0.2397) [4 per cell]  1 Bi 2.48

Values from the calculation:
The uncorrected energy is -2.516 eV per atom. The offset from the most stable computed form is 0 meV per atom. The magnetization is 0.0 μB/f.u.

***

The records above yield E_form (uncorrected) values of -0.109, -0.443, -0.268, -0.440 eV per atom, respectively.